1.
# BaLaHgPt (PBE-GGA, optimized geometry)
data_BaLaHgPt
_chemical_formula_sum 'Ba4 La4 Hg4 Pt4'
_space_group_name_H-M_alt 'F -4 3 m'
_space_group_IT_number 216
_space_group_name_Hall 'F -4 2 3'
_cell_length_a 7.771
_cell_length_b 7.771
_cell_length_c 7.771
_cell_angle_alpha 90.00
_cell_angle_beta 90.00
_cell_angle_gamma 90.00
loop_
_atom_site_label
_atom_site_type_symbol
_atom_site_fract_x
_atom_site_fract_y
_atom_site_fract_z
Ba1 Ba 0.000 0.000 0.000
La1 La 0.000 0.000 0.500
Hg1 Hg 0.250 0.250 0.250
Pt1 Pt 0.250 0.250 0.750
# ΔE_f ... -0.57 eV per atom
# Calculated volume ... 29.33 A^3/atom

---

2.
# Ba2LaHgRh (PBE-GGA, optimized geometry)
data_Ba2LaHgRh
_chemical_formula_sum 'Ba2 La1 Hg1 Rh1'
_space_group_name_H-M_alt 'P 4/m m m'
_space_group_IT_number 123
_space_group_name_Hall '-P 4 2'
_cell_length_a 6.190
_cell_length_b 6.190
_cell_length_c 5.330
_cell_angle_alpha 90.00
_cell_angle_beta 90.00
_cell_angle_gamma 90.00
loop_
_atom_site_label
_atom_site_type_symbol
_atom_site_fract_x
_atom_site_fract_y
_atom_site_fract_z
Ba1 Ba 0.000 0.500 0.000
La1 La 0.000 0.000 0.500
Hg1 Hg 0.500 0.500 0.500
Rh1 Rh 0.000 0.000 0.000
# ΔE_f ... -0.27 eV per atom
# Calculated volume ... 40.85 A^3/atom

---

3.
# BaLaHgRh2 (PBE-GGA, optimized geometry)
data_BaLaHgRh2
_chemical_formula_sum 'Ba1 La1 Hg1 Rh2'
_space_group_name_H-M_alt 'P 4/m m m'
_space_group_IT_number 123
_space_group_name_Hall '-P 4 2'
_cell_length_a 5.272
_cell_length_b 5.272
_cell_length_c 5.437
_cell_angle_alpha 90.00
_cell_angle_beta 90.00
_cell_angle_gamma 90.00
loop_
_atom_site_label
_atom_site_type_symbol
_atom_site_fract_x
_atom_site_fract_y
_atom_site_fract_z
Ba1 Ba 0.000 0.000 0.000
La1 La 0.500 0.500 0.000
Hg1 Hg 0.500 0.500 0.500
Rh1 Rh 0.000 0.500 0.500
# ΔE_f ... 0.52 eV per atom
# Calculated volume ... 30.22 A^3/atom

---

4.
# BaLa2HgRu (PBE-GGA, optimized geometry)
data_BaLa2HgRu
_chemical_formula_sum 'Ba1 La2 Hg1 Ru1'
_space_group_name_H-M_alt 'P 4/m m m'
_space_group_IT_number 123
_space_group_name_Hall '-P 4 2'
_cell_length_a 5.408
_cell_length_b 5.408
_cell_length_c 5.722
_cell_angle_alpha 90.00
_cell_angle_beta 90.00
_cell_angle_gamma 90.00
loop_
_atom_site_label
_atom_site_type_symbol
_atom_site_fract_x
_atom_site_fract_y
_atom_site_fract_z
Ba1 Ba 0.000 0.000 0.000
La1 La 0.000 0.500 0.500
Hg1 Hg 0.500 0.500 0.000
Ru1 Ru 0.500 0.500 0.500
# ΔE_f ... -0.19 eV per atom
# Calculated volume ... 33.47 A^3/atom

---

5.
# BaLa2HgRu (PBE-GGA, optimized geometry)
data_BaLa2HgRu
_chemical_formula_sum 'Ba1 La2 Hg1 Ru1'
_space_group_name_H-M_alt 'P 4/m m m'
_space_group_IT_number 123
_space_group_name_Hall '-P 4 2'
_cell_length_a 5.394
_cell_length_b 5.394
_cell_length_c 6.233
_cell_angle_alpha 90.00
_cell_angle_beta 90.00
_cell_angle_gamma 90.00
loop_
_atom_site_label
_atom_site_type_symbol
_atom_site_fract_x
_atom_site_fract_y
_atom_site_fract_z
Ba1 Ba 0.000 0.000 0.000
La1 La 0.000 0.500 0.500
Hg1 Hg 0.500 0.500 0.000
Ru1 Ru 0.000 0.000 0.500
# ΔE_f ... -0.15 eV per atom
# Calculated volume ... 36.28 A^3/atom

---

6.
# BaLaHgSb (PBE-GGA, optimized geometry)
data_BaLaHgSb
_chemical_formula_sum 'Ba4 La4 Hg4 Sb4'
_space_group_name_H-M_alt 'F -4 3 m'
_space_group_IT_number 216
_space_group_name_Hall 'F -4 2 3'
_cell_length_a 8.104
_cell_length_b 8.104
_cell_length_c 8.104
_cell_angle_alpha 90.00
_cell_angle_beta 90.00
_cell_angle_gamma 90.00
loop_
_atom_site_label
_atom_site_type_symbol
_atom_site_fract_x
_atom_site_fract_y
_atom_site_fract_z
Ba1 Ba 0.000 0.000 0.000
La1 La 0.000 0.000 0.500
Hg1 Hg 0.250 0.250 0.750
Sb1 Sb 0.250 0.250 0.250
# Formation energy without anion corrections ... -0.679 eV per atom
# Calculated volume ... 33.26 A^3/atom